First-principles (PBE) data for crystalline Ca4TlGaAg2 at its relaxed geometry, as listed in Alexandria.

Unit cell a=5.2951 b=5.2951 c=9.1995 alpha=73.27 beta=73.27 gamma=60.00
Closest atoms and distances in Å follow each position.
Element x y z (fractional)
Ag  0.7490  0.7490  0.7529  8 Ca 3.20-3.31
Ag  0.2510  0.2510  0.2471  8 Ca 3.20-3.31
Ca  0.1279  0.1279  0.6164  4 Ag 3.20-3.28, 3 Ga 3.22, 1 Tl 3.33
Ca  0.6218  0.6218  0.1347  1 Ga 3.17, 4 Ag 3.21-3.31, 3 Tl 3.27
Ca  0.3782  0.3782  0.8653  1 Ga 3.17, 4 Ag 3.21-3.31, 3 Tl 3.27
Ca  0.8721  0.8721  0.3836  4 Ag 3.20-3.28, 3 Ga 3.22, 1 Tl 3.33
Ga  0.5000  0.5000  0.5000  8 Ca 3.17-3.22
Tl  0.0000  0.0000  0.0000  8 Ca 3.27-3.33

Properties
Size of the total moment: 0.0 μB/cell
Raw total energy: -2.749 eV per atom
Crystal system: trigonal
Symmetry: R-3m